## CdCoHg4 (PBE-GGA)

Data for CdCoHg4 after structural relaxation.

```
CdCoHg4
1.0
0.000 4.121 4.121
4.121 0.000 4.121
4.121 4.121 0.000
Cd Co Hg
1 1 4
Direct
0.750 0.750 0.750
0.000 0.000 0.000
0.876 0.375 0.375
0.375 0.375 0.876
0.375 0.876 0.375
0.375 0.375 0.375
```

Output
Calculated formation energy ... 0.637 eV/atom
Symmetry ... F-43m
Total DFT energy (no corrections) ... -0.90 eV per atom
Size of the total moment ... 1.7 μB/f.u.